VASP calculation (PBE) on an optimized crystal structure of CoBrCl2.

## Properties
For the energy relative to the elements, uncorrected, the calculation gives -0.7 eV/f.u. Its polymorph energy (0 for the lowest one) is 249 meV per atom.

Cell lengths 4.740, 4.740, 9.814 Å; angles 90.00, 90.00, 142.21 degrees
Site moments in Bohr magnetons follow the coordinates.
Fractional positions:
Cl1 0.000 0.000 0.405  0.03
Br1 0.500 0.500 0.750  0.07
Cl2 0.000 0.000 0.095  0.03
Co1 0.500 0.500 0.250  1.15


VASP calculation (PBE) on an optimized crystal structure of CoBr3Cl.

## Properties
For the energy relative to the elements, uncorrected, the calculation gives -1.0 eV/f.u. Its polymorph energy (0 for the lowest one) is 76 meV per atom.

Cell lengths 7.449, 7.792, 6.529 Å; angles 79.91, 94.43, 58.81 degrees
Site moments in Bohr magnetons follow the coordinates.
Fractional positions:
Br1 0.020 0.152 0.932  0.06
Cl1 0.918 0.797 0.100  0.07
Br2 0.549 0.157 0.761  0.00
Br3 0.539 0.494 0.060  0.00
Br4 0.920 0.109 0.433  0.00
Br5 0.183 0.524 0.437  0.09
Cl2 0.510 0.119 0.266  0.00
Co1 0.546 0.346 0.418  0.16
Br6 0.595 0.584 0.544  0.07
Co2 0.759 0.129 0.089  0.19